(1)
VASP calculation (GGA-PBE) on an optimized crystal structure of Re2SnPd.

Its total magnetization is 0.00 μB/cell. As for the energy of formation: 1865 meV per atom. As for the crystal system: tetragonal.

The structure belongs to space group I-42d (No. 122); the cell edges are 6.0735, 6.0735 and 10.7207 Å and the angles 90.00°, 90.00° and 90.00°. The distinct sites, in fractional coordinates, are Re at (0.2160, 0.2500, 0.1250), Sn at (0.0000, 0.0000, 0.5000) and Pd at (0.0000, 0.0000, 0.0000).

---

(2)
VASP calculation (GGA-PBE) on an optimized crystal structure of ReSnPd.

Its total magnetization is 0.00 μB/cell. As for the energy of formation: 347 meV per atom. As for the crystal system: hexagonal.

The structure belongs to space group P-6m2 (No. 187); the cell edges are 3.0220, 3.0220 and 13.0655 Å and the angles 90.00°, 90.00° and 120.00°. The distinct sites, in fractional coordinates, are Re at (0.0000, 0.0000, 0.1610), Sn at (0.6667, 0.3333, 0.3298), Pd at (0.0000, 0.0000, 0.5000) and Pd at (0.6667, 0.3333, 0.0000).

---

(3)
VASP calculation (GGA-PBE) on an optimized crystal structure of Re3SnPd.

Its total magnetization is 2.94 μB/cell. As for the energy of formation: 2394 meV per atom. As for the crystal system: cubic.

The structure belongs to space group Pm-3m (No. 221); the cell edges are 4.7383, 4.7383 and 4.7383 Å and the angles 90.00°, 90.00° and 90.00°. The distinct sites, in fractional coordinates, are Re at (0.0000, 0.0000, 0.5000), Sn at (0.5000, 0.5000, 0.5000) and Pd at (0.0000, 0.0000, 0.0000).

---

(4)
VASP calculation (GGA-PBE) on an optimized crystal structure of Sr2RePd.

Its total magnetization is 10.98 μB/cell. As for the energy of formation: 909 meV per atom. As for the crystal system: tetragonal.

The structure belongs to space group I-42d (No. 122); the cell edges are 8.2944, 8.2944 and 6.2322 Å and the angles 90.00°, 90.00° and 90.00°. The distinct sites, in fractional coordinates, are Sr at (0.2266, 0.2500, 0.1250), Re at (0.0000, 0.0000, 0.5000) and Pd at (0.0000, 0.0000, 0.0000).

---

What is the formula in the third record?
Re3SnPd

---

Which value of energy of formation does entry 1 give?
1865 meV per atom

---

What did the second record say?
VASP calculation (GGA-PBE) on an optimized crystal structure of ReSnPd.

Its total magnetization is 0.00 μB/cell. As for the energy of formation: 347 meV per atom. As for the crystal system: hexagonal.

The structure belongs to space group P-6m2 (No. 187); the cell edges are 3.0220, 3.0220 and 13.0655 Å and the angles 90.00°, 90.00° and 120.00°. The distinct sites, in fractional coordinates, are Re at (0.0000, 0.0000, 0.1610), Sn at (0.6667, 0.3333, 0.3298), Pd at (0.0000, 0.0000, 0.5000) and Pd at (0.6667, 0.3333, 0.0000).